1.
This record from the Alexandria database describes a relaxed Ce3Sm2ThSe6 crystal. The functional is PBE-GGA.

Unit cell a=7.2556 b=7.2556 c=7.2742 alpha=99.58 beta=99.58 gamma=120.04
Each line ends with the local moment (μB).
Fractional coordinates of all 12 atoms:
Th (0.0000, 0.0000, 0.0000)  0.03
Se (0.5815, 0.9171, 0.7515)  -0.01
Ce (0.5000, 0.5000, 0.5000)  0.80
Se (0.9171, 0.5815, 0.7515)  -0.01
Se (0.4185, 0.0829, 0.2485)  -0.01
Ce (0.1663, 0.8337, 0.5000)  0.80
Se (0.2533, 0.2533, 0.7522)  -0.01
Ce (0.8337, 0.1663, 0.5000)  0.80
Se (0.0829, 0.4185, 0.2485)  -0.01
Sm (0.3332, 0.6668, 0.0000)  0.00
Sm (0.6668, 0.3332, 0.0000)  0.00
Se (0.7467, 0.7467, 0.2478)  -0.01

Final energy ... -76.887 eV/cell
Energy relative to the elements, uncorrected ... -1.7767 eV/atom

2.
This record from the Alexandria database describes a relaxed La2SeCl crystal. The functional is PBE-GGA.

Unit cell a=5.9884 b=4.2386 c=4.2421 alpha=90.00 beta=90.00 gamma=90.00
Fractional coordinates of all 4 atoms:
La (0.5000, 0.3748, 0.3752)
Cl (0.5000, 0.8749, 0.8752)
La (0.0000, 0.8751, 0.8748)
Se (0.0000, 0.3751, 0.3748)

Final energy ... -22.211 eV/cell
Relative energy among the computed polymorphs ... 8 kJ/mol of formula units
Energy relative to the elements, uncorrected ... -1.7562 eV/atom

no.,spin magnetization (Bohr magnetons per cell)
1,2.90
2,0.00